The following is a DFT calculation (PBE) of crystalline TbCdGaAg at its relaxed geometry.

Calculated values
**Total magnetic moment**: 0.00 μB/f.u.
**Energy of formation from the pure elements**: -0.348 eV per atom

```
data_TbCdGaAg
_cell_length_a 6.953
_cell_length_b 6.953
_cell_length_c 6.953
_cell_angle_alpha 90.00
_cell_angle_beta 90.00
_cell_angle_gamma 90.00
_symmetry_space_group_name_H-M 'F -4 3 m'
_symmetry_Int_Tables_number 216
_symmetry_space_group_name_Hall 'F -4 2 3'
loop_
_atom_site_label
_atom_site_type_symbol
_atom_site_fract_x
_atom_site_fract_y
_atom_site_fract_z
Tb1 Tb 0.000 0.000 0.000
Cd1 Cd 0.000 0.000 0.500
Ga1 Ga 0.250 0.250 0.250
Ag1 Ag 0.250 0.250 0.750
```